# HfMn2Pt2 PBE optimized geometry
# Formation energy from the elements, eV per atom: -0.23
# Raw total energy, eV/f.u.: -41.51
data_HfMn2Pt2
_symmetry_space_group_name_H-M 'P 4/m b m'
_symmetry_Int_Tables_number 127
_symmetry_space_group_name_Hall '-P 4 2ab'
_cell_length_a 7.340
_cell_length_b 7.340
_cell_length_c 2.758
_cell_angle_alpha 90.00
_cell_angle_beta 90.00
_cell_angle_gamma 90.00
loop_
_atom_site_label
_atom_site_type_symbol
_atom_site_fract_x
_atom_site_fract_y
_atom_site_fract_z
Hf1 Hf 0.000 0.000 0.000
Mn1 Mn 0.103 0.397 0.000
Pt1 Pt 0.190 0.690 0.500